--- A ---
Mg6CdFeO8, optimized geometry, DFT PBE with a Hubbard U; crystal system = tetragonal; total magnetization = 4.00 Bohr magnetons per cell
1.0
4.3592 0.0000 0.0000
0.0000 4.3592 0.0000
0.0000 0.0000 8.7572
Mg Cd Fe O
6 1 1 8
Direct
0.0000 0.0000 0.0000
0.0000 0.5000 0.2422
0.0000 0.5000 0.7578
0.5000 0.0000 0.2422
0.5000 0.0000 0.7578
0.5000 0.5000 0.0000
0.0000 0.0000 0.5000
0.5000 0.5000 0.5000
0.0000 0.0000 0.2334
0.0000 0.0000 0.7666
0.0000 0.5000 0.0000
0.0000 0.5000 0.5000
0.5000 0.0000 0.0000
0.5000 0.0000 0.5000
0.5000 0.5000 0.2434
0.5000 0.5000 0.7566


--- B ---
Mg6CdFeO8, optimized geometry, DFT PBE with a Hubbard U; crystal system = tetragonal; total magnetization = 3.99 Bohr magnetons per cell
1.0
4.3880 0.0000 0.0000
0.0000 4.3880 0.0000
0.0000 0.0000 8.6865
Mg Cd Fe O
6 1 1 8
Direct
0.0000 0.0000 0.0000
0.0000 0.0000 0.5000
0.0000 0.5000 0.2439
0.0000 0.5000 0.7561
0.5000 0.0000 0.2439
0.5000 0.0000 0.7561
0.5000 0.5000 0.5000
0.5000 0.5000 0.0000
0.0000 0.0000 0.2506
0.0000 0.0000 0.7494
0.0000 0.5000 0.0000
0.0000 0.5000 0.5000
0.5000 0.0000 0.0000
0.5000 0.0000 0.5000
0.5000 0.5000 0.2357
0.5000 0.5000 0.7643


Name the most stable of them. B.